# Sc2HgHIr

A relaxed structure of Sc2HgHIr (GGA-PBE, Alexandria via LeMat-Bulk).

Lattice parameters (Å, degrees): 4.6374 4.6374 3.6869 90.00 90.00 90.00
With the nearest neighbours (Å) after each atom.
Fractional positions:
Sc: 0.0000 0.5000 0.0000  2 H 2.32
Sc: 0.5000 0.0000 0.0000  2 H 2.32
H: 0.0000 0.0000 0.0000  2 Ir 1.84
Ir: 0.0000 0.0000 0.5000  2 H 1.84
Hg: 0.5000 0.5000 0.5000  8 Sc 2.96, 4 Ir 3.28

space-group type = No. 123
V = 79.3 Å³ per cell
E = -5.589 eV per atom
magnetization = 0.000 μB per atom